1.
A plane-wave DFT calculation with GGA-PBEsol was carried out for Y2TiTl after structural relaxation.

a = 7.3435 Å, b = 7.3435 Å, c = 7.3435 Å
α = 90.00°, β = 90.00°, γ = 90.00°
Closest atoms and distances in Å follow each position.
Space group Fm-3m (No. 225)
Unique sites:
1 Y 0.2500 0.2500 0.2500  4 Ti 3.18, 4 Tl 3.18
2 Ti 0.0000 0.0000 0.0000  8 Y 3.18
3 Tl 0.0000 0.0000 0.5000  8 Y 3.18

Properties
size of the total moment = 11.74 μB/cell

2.
A plane-wave DFT calculation with GGA-PBEsol was carried out for U2Ti after structural relaxation.

a = 4.6963 Å, b = 4.6963 Å, c = 2.7555 Å
α = 90.00°, β = 90.00°, γ = 120.00°
Closest atoms and distances in Å follow each position.
Space group P6/mmm (No. 191)
Unique sites:
1 U 0.3333 0.6667 0.0000  5 U 2.71-2.76
2 Ti 0.0000 0.0000 0.5000  2 Ti 2.76, 12 U 3.04

Properties
size of the total moment = 0.00 μB/cell

3.
A plane-wave DFT calculation with GGA-PBEsol was carried out for TiV2W after structural relaxation.

a = 6.1162 Å, b = 6.1162 Å, c = 6.1162 Å
α = 90.00°, β = 90.00°, γ = 90.00°
Closest atoms and distances in Å follow each position.
Space group Fm-3m (No. 225)
Unique sites:
1 Ti 0.0000 0.0000 0.0000  8 V 2.65
2 V 0.2500 0.2500 0.2500  4 W 2.65, 4 Ti 2.65
3 W 0.0000 0.0000 0.5000  8 V 2.65

Properties
size of the total moment = 0.02 μB/cell

4.
A plane-wave DFT calculation with GGA-PBEsol was carried out for YTi3W after structural relaxation.

a = 4.5407 Å, b = 4.5407 Å, c = 4.5407 Å
α = 90.00°, β = 90.00°, γ = 90.00°
Closest atoms and distances in Å follow each position.
Space group Pm-3m (No. 221)
Unique sites:
1 Y 0.0000 0.0000 0.0000  6 Ti 2.27
2 Ti 0.0000 0.0000 0.5000  2 Y 2.27
3 W 0.5000 0.5000 0.5000  12 Ti 3.21

Properties
size of the total moment = 0.00 μB/cell

no.,energy of formation from the pure elements (meV per atom)
1,-49
2,-94
3,0
4,1859